1.
PBE NdEr2C3, relaxed; V = 18.275 Å³/atom; DFT formation energy = -0.396 eV per formula unit
1.0
-2.820 5.248 3.705
2.820 -5.248 3.705
2.820 5.248 -3.705
Nd Er C
2 4 6
direct
0.296 0.046 0.250
0.704 0.954 0.750
0.089 0.668 0.421
0.253 0.332 0.921
0.747 0.668 0.079
0.911 0.332 0.579
0.000 0.000 0.500
0.000 0.122 0.122
0.000 0.500 0.000
0.000 0.878 0.878
0.500 0.122 0.622
0.500 0.878 0.378

2.
PBE Er3Sc3In2, relaxed; V = 25.356 Å³/atom; DFT formation energy = -2.066 eV per formula unit
1.0
4.662 0.000 0.000
0.000 4.674 0.000
0.000 0.000 9.309
Er Sc In
3 3 2
direct
0.000 0.000 0.000
0.000 0.000 0.500
0.500 0.500 0.000
0.500 0.000 0.255
0.500 0.000 0.745
0.500 0.500 0.500
0.000 0.500 0.254
0.000 0.500 0.746

3.
PBE La2DyCd, relaxed; V = 31.866 Å³/atom; energy above the most stable polymorph in this dataset = 0 meV/atom; DFT formation energy = -0.618 eV per formula unit
1.0
0.000 3.765 9.003
3.760 0.000 9.003
3.760 3.765 0.000
La Dy Cd
4 2 2
direct
0.000 0.000 0.500
0.136 0.136 0.864
0.500 0.500 0.000
0.864 0.864 0.136
0.356 0.356 0.644
0.644 0.644 0.356
0.250 0.250 0.250
0.750 0.750 0.750

- Number 3 is which compound?
  La2DyCd